## Hf2VIr (PBE)

Data for crystalline Hf2VIr at its relaxed geometry.

The structure in POSCAR format:
```
Hf2VIr
1.0
0.0000 3.2771 3.2771
3.2771 0.0000 3.2771
3.2771 3.2771 0.0000
Hf V Ir
2 1 1
Direct
0.2500 0.2500 0.2500
0.7500 0.7500 0.7500
0.0000 0.0000 0.0000
0.5000 0.5000 0.5000
```

Its total energy is -0.366 Ha/atom. The formation energy from the elements comes out at -0.4932 eV/atom. The energy above the most stable polymorph in this dataset is 1 meV/atom. For the calculated density, the calculation gives 14.2 g/cm3. As for the space group: Fm-3m (225).

---

## UTcSnOs (PBE)

Data for crystalline UTcSnOs at its relaxed geometry.

The structure in POSCAR format:
```
UTcSnOs
1.0
0.0000 3.3330 3.3330
3.3330 0.0000 3.3330
3.3330 3.3330 0.0000
U Tc Sn Os
1 1 1 1
Direct
0.0000 0.0000 0.0000
0.7500 0.7500 0.7500
0.5000 0.5000 0.5000
0.2500 0.2500 0.2500
```

Its total energy is -0.339 Ha/atom. The formation energy from the elements comes out at -0.0022 eV/atom. For the calculated density, the calculation gives 14.5 g/cm3. As for the space group: F-43m (216).

---

## TaTlP2 (PBE)

Data for crystalline TaTlP2 at its relaxed geometry.

The structure in POSCAR format:
```
TaTlP2
1.0
3.7198 0.0000 0.0000
0.0000 4.7020 0.0000
-1.7741 0.0000 4.4626
Ta Tl P
1 1 2
Direct
0.0000 0.0000 0.0000
0.6084 0.5000 0.2367
0.2975 0.0000 0.5878
0.9036 0.5000 0.8018
```

Its total energy is -0.225 Ha/atom. The formation energy from the elements comes out at 0.1460 eV/atom. The energy above the most stable polymorph in this dataset is 347 meV/atom. For the calculated density, the calculation gives 9.5 g/cm3. As for the space group: Pm (6).

---

## Mn2MoP (PBE)

Data for crystalline Mn2MoP at its relaxed geometry.

The structure in POSCAR format:
```
Mn2MoP
1.0
0.0000 2.9134 2.9134
2.9134 0.0000 2.9134
2.9134 2.9134 0.0000
Mn Mo P
2 1 1
Direct
0.0000 0.0000 0.0000
0.2500 0.2500 0.2500
0.5000 0.5000 0.5000
0.7500 0.7500 0.7500
```

Its total energy is -0.323 Ha/atom. The formation energy from the elements comes out at -0.1421 eV/atom. For the calculated density, the calculation gives 8.0 g/cm3. As for the space group: F-43m (216).

---

## Tb2VHg (PBE)

Data for crystalline Tb2VHg at its relaxed geometry.

The structure in POSCAR format:
```
Tb2VHg
1.0
1.6754 0.9673 10.8392
-1.6754 0.9673 10.8392
0.0000 -1.9346 10.8392
Tb V Hg
2 1 1
Direct
0.0875 0.0875 0.0875
0.9125 0.9125 0.9125
0.0000 0.0000 0.0000
0.5000 0.5000 0.5000
```

Its total energy is -0.153 Ha/atom. The formation energy from the elements comes out at 0.4961 eV/atom. The energy above the most stable polymorph in this dataset is 551 meV/atom. For the calculated density, the calculation gives 9.0 g/cm3. As for the space group: R-3m (166).

---

## Mg2CdAs2 (PBE)

Data for crystalline Mg2CdAs2 at its relaxed geometry.

The structure in POSCAR format:
```
Mg2CdAs2
1.0
-2.4300 2.4300 4.9039
2.4300 -2.4300 4.9039
2.4300 2.4300 -4.9039
Mg Cd As
2 1 2
Direct
0.2500 0.7500 0.5000
0.7500 0.2500 0.5000
0.0000 0.0000 0.0000
0.3742 0.3742 0.0000
0.6258 0.6258 0.0000
```

Its total energy is -0.109 Ha/atom. The formation energy from the elements comes out at -0.2831 eV/atom. The energy above the most stable polymorph in this dataset is 0 meV/atom. For the calculated density, the calculation gives 4.5 g/cm3. As for the space group: I4/mmm (139).

---

## AcTbPS (PBE)

Data for crystalline AcTbPS at its relaxed geometry.

The structure in POSCAR format:
```
AcTbPS
1.0
2.0433 1.1797 7.2990
-2.0433 1.1797 7.2990
0.0000 -2.3594 7.2990
Ac Tb P S
1 1 1 1
Direct
0.0000 0.0000 0.0000
0.8213 0.8213 0.8213
0.4178 0.4178 0.4178
0.5719 0.5719 0.5719
```

Its total energy is -0.229 Ha/atom. The formation energy without anion corrections is -1.673 eV per atom. For the calculated density, the calculation gives 7.1 g/cm3. As for the space group: R3m (160).

---

## ScNi3H (PBE)

Data for crystalline ScNi3H at its relaxed geometry.

The structure in POSCAR format:
```
ScNi3H
1.0
4.2189 0.0000 0.0000
-2.1095 3.6537 0.0000
0.0000 0.0000 7.4060
Sc Ni H
2 6 2
Direct
0.3333 0.6667 0.2500
0.6667 0.3333 0.7500
0.0000 0.0000 0.2500
0.0000 0.0000 0.7500
0.3333 0.6667 0.5847
0.3333 0.6667 0.9153
0.6667 0.3333 0.0847
0.6667 0.3333 0.4153
0.0000 0.0000 0.0000
0.0000 0.0000 0.5000
```

Its total energy is -0.195 Ha/atom. The energy above the most stable polymorph in this dataset is 514 meV/atom. For the calculated density, the calculation gives 6.5 g/cm3. As for the space group: P6_3/mmc (194).